Entry 1:
Here is a relaxed La2Ho12Sc crystal from Alexandria. Energies are from PBE-GGA.

Properties
SG: Pmmm
Calculated volume in Å³ per cell: 975.36
Total moment in μB/cell: 0.000
Fermi-level density of states in states/eV/cell: 47.425
DFT total energy in eV/atom: -4.58

abc: 6.644 6.644 24.559
angles: 90.00 90.00 115.87
Fractional coordinates of all 30 atoms:
Ho 0.250 0.250 0.073
Ho 0.750 0.750 0.562
Ho 0.250 0.250 0.927
Ho 0.750 0.750 0.927
Ho 0.750 0.250 0.880
Ho 0.250 0.250 0.438
Ho 0.750 0.250 0.585
Ho 0.500 0.500 0.326
Ho 0.000 0.000 0.195
Ho 0.500 0.500 0.674
Ho 0.250 0.750 0.415
Ho 0.750 0.250 0.415
Ho 0.750 0.250 0.120
Ho 0.750 0.750 0.073
Ho 0.250 0.750 0.585
Ho 0.000 0.000 0.805
Ho 0.250 0.750 0.120
Ho 0.500 0.500 0.195
Ho 0.000 0.000 0.674
Ho 0.000 0.000 0.326
Ho 0.250 0.750 0.880
Ho 0.250 0.250 0.562
Ho 0.750 0.750 0.438
Ho 0.500 0.500 0.805
Sc 0.500 0.000 0.000
Sc 0.000 0.500 0.000
La 0.500 0.000 0.266
La 0.000 0.500 0.266
La 0.000 0.500 0.734
La 0.500 0.000 0.734

Entry 2:
Here is a relaxed Zr2Cr2Os crystal from Alexandria. Energies are from PBE-GGA.

Properties
SG: I4/mmm
Calculated volume in Å³ per cell: 88.71
Energy above the most stable polymorph in this dataset in eV/atom: 0.918
Total moment in μB/cell: 0.953
Fermi-level density of states in states/eV/cell: 6.916

abc: 3.951 3.951 6.333
angles: 71.82 71.82 90.00
Last column: magnetic moment on the atom in μB.
Fractional coordinates of all 5 atoms:
Cr 0.422 0.422 0.157  0.11
Cr 0.578 0.578 0.843  0.11
Zr 0.250 0.750 0.500  0.01
Zr 0.750 0.250 0.500  0.01
Os 0.000 0.000 0.000  0.66

Entry 3:
Here is a relaxed AlNi3 crystal from Alexandria. Energies are from PBE-GGA.

Properties
SG: C2/m
Calculated volume in Å³ per cell: 45.67
Total moment in μB/cell: 0.000
Fermi-level density of states in states/eV/cell: 4.933
DFT total energy in eV/atom: -5.61

abc: 4.409 4.409 4.197
angles: 75.87 75.87 35.40
Fractional coordinates of all 4 atoms:
Ni 0.748 0.748 0.747
Ni 0.252 0.252 0.253
Ni 0.500 0.500 0.500
Al 0.000 0.000 0.000

Entry 4:
Here is a relaxed ScVP2 crystal from Alexandria. Energies are from PBE-GGA.

Properties
SG: R3m
Calculated volume in Å³ per cell: 63.91
Energy above the most stable polymorph in this dataset in eV/atom: 0.000
Total moment in μB/cell: 0.000
Fermi-level density of states in states/eV/cell: 0.474

abc: 3.497 3.497 6.364
angles: 74.06 74.06 60.00
Fractional coordinates of all 4 atoms:
P 0.241 0.241 0.278
P 0.092 0.092 0.725
V 0.496 0.496 0.511
Sc 0.671 0.671 0.986

Entry 5:
Here is a relaxed CrCo2Au crystal from Alexandria. Energies are from PBE-GGA.

Properties
SG: Pmmm
Calculated volume in Å³ per cell: 50.95
Energy above the most stable polymorph in this dataset in eV/atom: 0.000
Total moment in μB/cell: 0.342
Fermi-level density of states in states/eV/cell: 5.726

abc: 2.685 3.391 5.596
angles: 90.00 90.00 90.00
Last column: magnetic moment on the atom in μB.
Fractional coordinates of all 4 atoms:
Co 0.000 0.000 0.038  0.71
Co 0.000 0.000 0.462  0.71
Cr 0.500 0.500 0.250  -1.03
Au 0.500 0.500 0.750  0.02

Entry 6:
Here is a relaxed MnNiCl2 crystal from Alexandria. Energies are from PBE-GGA.

Properties
SG: I-4m2
Calculated volume in Å³ per cell: 69.10
Energy above the most stable polymorph in this dataset in eV/atom: 0.422
Total moment in μB/cell: 4.940
Formation energy without anion corrections in eV per atom: 0.0316
Fermi-level density of states in states/eV/cell: 2.384

abc: 6.241 6.241 6.241
angles: 147.72 147.72 46.30
Last column: magnetic moment on the atom in μB.
Fractional coordinates of all 4 atoms:
Cl 0.000 0.000 0.000  0.07
Cl 0.250 0.750 0.500  0.06
Mn 0.500 0.500 0.000  4.03
Ni 0.750 0.250 0.500  0.58

Entry 7:
Here is a relaxed Tb3SmEr6 crystal from Alexandria. Energies are from PBE-GGA.

Properties
SG: Cmc2_1
Calculated volume in Å³ per cell: 636.22
Energy above the most stable polymorph in this dataset in eV/atom: 0.000
Total moment in μB/cell: 0.021
Fermi-level density of states in states/eV/cell: 28.394

abc: 6.159 10.899 10.899
angles: 119.58 90.00 90.00
Fractional coordinates of all 20 atoms:
Tb 0.958 0.064 0.282
Tb 0.569 0.609 0.391
Tb 0.958 0.718 0.936
Tb 0.458 0.936 0.718
Tb 0.458 0.282 0.064
Tb 0.069 0.391 0.609
Er 0.141 0.716 0.284
Er 0.031 0.383 0.288
Er 0.031 0.712 0.617
Er 0.365 0.038 0.460
Er 0.641 0.284 0.716
Er 0.915 0.047 0.953
Er 0.365 0.540 0.962
Er 0.415 0.953 0.047
Er 0.531 0.617 0.712
Er 0.531 0.288 0.383
Er 0.865 0.962 0.540
Er 0.865 0.460 0.038
Sm 0.152 0.207 0.793
Sm 0.652 0.793 0.207

Entry 8:
Here is a relaxed PrNdDyTh crystal from Alexandria. Energies are from PBE-GGA.

Properties
SG: F-43m
Calculated volume in Å³ per cell: 135.29
Energy above the most stable polymorph in this dataset in eV/atom: 0.182
Total moment in μB/cell: 0.002
Fermi-level density of states in states/eV/cell: 11.536

abc: 5.762 5.762 5.762
angles: 60.00 60.00 60.00
Fractional coordinates of all 4 atoms:
Pr 0.000 0.000 0.000
Nd 0.500 0.500 0.500
Th 0.250 0.250 0.250
Dy 0.750 0.750 0.750